(1)
Below is an optimized crystal structure of Ti4SnC2, with properties calculated at the GGA-PBE level.

Properties
As for the formation energy: -0.65 eV per atom. As for the density of states at the Fermi level: 0.41 states/eV/atom.

a b c (Å): 3.1351 3.1351 11.9740
angles (deg): 82.48 82.48 60.00
Fractional positions:
Ti 0.1308 0.1308 0.6077
Ti 0.2661 0.2661 0.2016
Ti 0.7339 0.7339 0.7984
Ti 0.8692 0.8692 0.3923
Sn 0.0000 0.0000 0.0000
C 0.4314 0.4314 0.7058
C 0.5686 0.5686 0.2942

---

(2)
Below is an optimized crystal structure of PrZn2Rh, with properties calculated at the GGA-PBE level.

Properties
As for the formation energy: -0.52 eV per atom. As for the density of states at the Fermi level: 0.58 states/eV/atom.

a b c (Å): 5.5573 7.3717 15.3329
angles (deg): 90.00 90.00 90.00
Fractional positions:
Pr 0.4541 0.2500 0.1407
Pr 0.9541 0.7500 0.3593
Pr 0.5459 0.7500 0.8593
Pr 0.0459 0.2500 0.6407
Pr 0.7358 0.2500 0.3999
Pr 0.2358 0.7500 0.1001
Pr 0.2642 0.7500 0.6001
Pr 0.7642 0.2500 0.8999
Zn 0.9293 0.0497 0.2080
Zn 0.4293 0.9503 0.2920
Zn 0.0707 0.5497 0.7920
Zn 0.5707 0.4503 0.7080
Zn 0.0707 0.9503 0.7920
Zn 0.5707 0.0497 0.7080
Zn 0.9293 0.4503 0.2080
Zn 0.4293 0.5497 0.2920
Zn 0.7498 0.5608 0.0432
Zn 0.2498 0.4392 0.4568
Zn 0.2502 0.0608 0.9568
Zn 0.7502 0.9392 0.5432
Zn 0.2502 0.4392 0.9568
Zn 0.7502 0.5608 0.5432
Zn 0.7498 0.9392 0.0432
Zn 0.2498 0.0608 0.4568
Rh 0.1882 0.2500 0.3090
Rh 0.6882 0.7500 0.1910
Rh 0.8118 0.7500 0.6910
Rh 0.3118 0.2500 0.8090
Rh 0.9918 0.2500 0.0698
Rh 0.4918 0.7500 0.4302
Rh 0.0082 0.7500 0.9302
Rh 0.5082 0.2500 0.5698

---

(3)
Below is an optimized crystal structure of CaTb2InO, with properties calculated at the GGA-PBE level.

Properties
As for the density of states at the Fermi level: 0.35 states/eV/atom. The value obtained for the uncorrected formation energy is -1.420 eV/atom.

a b c (Å): 4.8364 4.8191 4.8191
angles (deg): 90.00 90.00 90.00
Fractional positions:
Ca 0.5000 0.0000 0.0000
Tb 0.0000 0.0000 0.5000
Tb 0.0000 0.5000 0.0000
In 0.5000 0.5000 0.5000
O 0.0000 0.0000 0.0000

---

(4)
Below is an optimized crystal structure of ScCo, with properties calculated at the GGA-PBE level.

Properties
As for the formation energy: 0.26 eV per atom. As for the density of states at the Fermi level: 1.51 states/eV/atom.

a b c (Å): 4.6186 4.6186 7.1306
angles (deg): 90.00 90.00 120.00
Last column: magnetic moment on the atom in μB.
Fractional positions:
Sc 0.0000 0.0000 0.2500  -0.15
Sc 0.0000 0.0000 0.7500  -0.15
Sc 0.3333 0.6667 0.7500  -0.23
Sc 0.6667 0.3333 0.2500  -0.23
Co 0.3333 0.6667 0.0942  1.18
Co 0.6667 0.3333 0.5942  1.18
Co 0.6667 0.3333 0.9058  1.18
Co 0.3333 0.6667 0.4058  1.18

---

(5)
Below is an optimized crystal structure of CsNpCrS4, with properties calculated at the GGA-PBE level.

Properties
As for the density of states at the Fermi level: 1.33 states/eV/atom. The value obtained for the uncorrected formation energy is -1.081 eV/atom.

a b c (Å): 6.4605 6.5767 9.5480
angles (deg): 90.00 109.10 90.00
Last column: magnetic moment on the atom in μB.
Fractional positions:
Cs 0.7307 0.7500 0.9388  0.00
Cs 0.2693 0.2500 0.0612  0.00
Np 0.7756 0.7500 0.4522  3.67
Np 0.2244 0.2500 0.5478  3.67
Cr 0.2224 0.7500 0.3403  2.31
Cr 0.7776 0.2500 0.6597  2.31
S 0.0134 0.5051 0.6894  -0.10
S 0.9866 0.0051 0.3106  -0.10
S 0.9866 0.4949 0.3106  -0.10
S 0.0134 0.9949 0.6894  -0.10
S 0.4333 0.7500 0.1982  -0.07
S 0.5667 0.2500 0.8018  -0.07
S 0.4411 0.7500 0.5680  -0.10
S 0.5589 0.2500 0.4320  -0.10

---

(6)
Below is an optimized crystal structure of TbBeCo, with properties calculated at the GGA-PBE level.

Properties
As for the formation energy: 0.15 eV per atom. As for the density of states at the Fermi level: 0.84 states/eV/atom.

a b c (Å): 5.1777 5.4337 4.3870
angles (deg): 90.00 126.17 90.00
Last column: magnetic moment on the atom in μB.
Fractional positions:
Tb 0.3476 0.7500 0.6953  -0.07
Tb 0.6524 0.2500 0.3047  -0.07
Be 0.2451 0.2500 0.4902  0.00
Be 0.7549 0.7500 0.5098  0.00
Co 0.0000 0.0000 0.0000  0.67
Co 0.0000 0.5000 0.0000  0.67

---

(7)
Below is an optimized crystal structure of Dy2PuOs, with properties calculated at the GGA-PBE level.

Properties
As for the formation energy: 0.35 eV per atom. As for the density of states at the Fermi level: 2.69 states/eV/atom.

a b c (Å): 3.3484 3.3484 10.9999
angles (deg): 81.25 81.25 60.00
Last column: magnetic moment on the atom in μB.
Fractional positions:
Dy 0.1029 0.1029 0.6912  -0.01
Dy 0.8971 0.8971 0.3088  -0.01
Os 0.5000 0.5000 0.5000  0.00
Pu 0.0000 0.0000 0.0000  5.72

---

(8)
Below is an optimized crystal structure of Pr4Y3Tm2, with properties calculated at the GGA-PBE level.

Properties
As for the formation energy: 0.09 eV per atom. As for the density of states at the Fermi level: 1.44 states/eV/atom.

a b c (Å): 3.6592 6.7260 14.6011
angles (deg): 64.38 90.00 105.78
Fractional positions:
Pr 0.6497 0.2994 0.1282
Pr 0.1106 0.2212 0.6084
Pr 0.8894 0.7788 0.3916
Pr 0.3503 0.7006 0.8718
Y 0.3804 0.7607 0.6125
Y 0.0000 0.0000 0.0000
Y 0.6196 0.2393 0.3875
Tm 0.3391 0.6782 0.2087
Tm 0.6609 0.3218 0.7913

---

(9)
Below is an optimized crystal structure of TaPb5, with properties calculated at the GGA-PBE level.

Properties
As for the formation energy: 0.80 eV per atom. As for the density of states at the Fermi level: 0.87 states/eV/atom.

a b c (Å): 6.3458 6.3458 6.3458
angles (deg): 60.00 60.00 60.00
Last column: magnetic moment on the atom in μB.
Fractional positions:
Ta 0.0000 0.0000 0.0000  1.44
Pb 0.2500 0.2500 0.2500  0.00
Pb 0.6256 0.6256 0.6256  -0.01
Pb 0.1232 0.6256 0.6256  -0.01
Pb 0.6256 0.1232 0.6256  -0.01
Pb 0.6256 0.6256 0.1232  -0.01

---

(10)
Below is an optimized crystal structure of ScCrRu2, with properties calculated at the GGA-PBE level.

Properties
As for the formation energy: 0.13 eV per atom. As for the density of states at the Fermi level: 1.09 states/eV/atom.

a b c (Å): 8.5749 8.5749 8.5749
angles (deg): 19.21 19.21 19.21
Fractional positions:
Cr 0.7500 0.7500 0.7500
Ru 0.0065 0.0065 0.0065
Ru 0.4935 0.4935 0.4935
Sc 0.2500 0.2500 0.2500

---

(11)
Below is an optimized crystal structure of AcCd8As6, with properties calculated at the GGA-PBE level.

Properties
As for the formation energy: -0.19 eV per atom. As for the density of states at the Fermi level: 0.22 states/eV/atom.

a b c (Å): 8.1692 8.1692 14.7899
angles (deg): 90.00 90.00 120.00
Fractional positions:
Ac 0.0000 0.0000 0.4771
Ac 0.0000 0.0000 0.9771
Cd 0.6946 0.6946 0.2672
Cd 0.6171 0.6171 0.6298
Cd 0.3829 0.3829 0.1298
Cd 0.3054 0.3054 0.7672
Cd 0.6667 0.3333 0.9093
Cd 0.6667 0.3333 0.4093
Cd 0.3054 0.0000 0.2672
Cd 0.3829 0.0000 0.6298
Cd 0.6171 0.0000 0.1298
Cd 0.0000 0.6946 0.7672
Cd 0.6946 0.0000 0.7672
Cd 0.0000 0.6171 0.1298
Cd 0.3333 0.6667 0.4093
Cd 0.3333 0.6667 0.9093
Cd 0.0000 0.3829 0.6298
Cd 0.0000 0.3054 0.2672
As 0.6322 0.6322 0.4484
As 0.3678 0.3678 0.9484
As 0.6667 0.3333 0.7113
As 0.0000 0.0000 0.6909
As 0.0000 0.0000 0.1909
As 0.6667 0.3333 0.2113
As 0.3678 0.0000 0.4484
As 0.0000 0.6322 0.9484
As 0.6322 0.0000 0.9484
As 0.3333 0.6667 0.2113
As 0.3333 0.6667 0.7113
As 0.0000 0.3678 0.4484

---

(12)
Below is an optimized crystal structure of TbSm2Hg, with properties calculated at the GGA-PBE level.

Properties
As for the formation energy: -0.22 eV per atom. As for the density of states at the Fermi level: 1.09 states/eV/atom.

a b c (Å): 3.6810 3.6810 8.9276
angles (deg): 90.00 90.00 90.00
Fractional positions:
Tb 0.5000 0.5000 0.5000
Hg 0.5000 0.5000 0.0000
Sm 0.0000 0.0000 0.7767
Sm 0.0000 0.0000 0.2233